Compound: TbSmSi2Au2
Source: OQMD
Functional: PBE-GGA
Structure: optimized geometry Values from VASP.

Structure (Quantum ESPRESSO input):
```
&SYSTEM
  ibrav = 0, nat = 6, ntyp = 4
/
ATOMIC_SPECIES
Au 196.97 Au.upf
Si 28.09 Si.upf
Sm 150.36 Sm.upf
Tb 158.93 Tb.upf
CELL_PARAMETERS angstrom
4.349 0.000 0.000
-2.175 3.766 0.000
0.000 0.000 7.764
ATOMIC_POSITIONS crystal
Au 0.667 0.333 0.259
Au 0.333 0.667 0.776
Si 0.333 0.667 0.225
Si 0.667 0.333 0.733
Sm 0.000 0.000 0.505
Tb 0.000 0.000 0.003
```

Properties
The calculation puts the total energy at -31.7 eV per cell. The space group is P3m1, No. 156. The spin magnetization is 0.01 μB per formula unit.